The following is a DFT calculation (PBE) of crystalline Sr2CaAlO4F at its relaxed geometry.

Lattice parameters (Å, degrees): 7.3362 7.2495 6.7090 63.27 61.96 54.77
With the nearest neighbours (Å) after each atom.
Atoms (fractional coordinates):
Sr1 0.3315 0.6685 0.3315  6 O 2.45-2.67, 2 F 2.47
Sr2 0.2500 0.2500 0.2500  2 F 2.77, 8 O 2.81-2.84
Sr3 0.6685 0.3315 0.6685  6 O 2.45-2.67, 2 F 2.47
Sr4 0.7500 0.7500 0.7500  2 F 2.77, 8 O 2.81-2.84
Ca1 0.1694 0.8306 0.8306  2 O 2.35, 2 F 2.52
Ca2 0.8306 0.1694 0.1694  2 O 2.35, 2 F 2.52
O1 0.5020 0.2077 0.4980  1 Al 1.80
O2 0.7923 0.4980 0.2077  1 Al 1.80
O3 0.7139 0.9945 0.0055  1 Al 1.78
O4 0.2861 0.0055 0.9945  1 Al 1.78
O5 0.0055 0.2861 0.7139  1 Al 1.78
O6 0.9945 0.7139 0.2861  1 Al 1.78
O7 0.4980 0.7923 0.5020  1 Al 1.80
O8 0.2077 0.5020 0.7923  1 Al 1.80
Al1 0.2504 0.2504 0.7496  4 O 1.78-1.80
Al2 0.7496 0.7496 0.2504  4 O 1.78-1.80
F1 0.0000 0.0000 0.5000  2 Sr 2.47, 2 Ca 2.52
F2 0.5000 0.5000 0.0000  2 Sr 2.47, 2 Ca 2.52

SG: Fmmm (69)
Formation energy (no corrections) in eV per atom: -3.092
VASP energy in eV/atom: -6.5157
Crystal system: orthorhombic
Size of the total moment in μB per atom: 0.00
D(E_F) in states/eV/cell: 0.0